This record from Alexandria via LeMat-Bulk describes a relaxed ZrTc2Br crystal. The functional is GGA-PBE.

## Properties
E_form (uncorrected) in eV/atom: 0.34
Crystal system: orthorhombic
Size of the total moment in μB per cell: 0.0
Density in g cm⁻³: 7.55

Unit cell a=3.2656 b=4.1704 c=5.9294 alpha=90.00 beta=90.00 gamma=90.00
Space group Pmmm (No. 47)
Symmetry-distinct sites (fractional):
Zr 0.0000 0.0000 0.0000
Tc 0.5000 0.5000 0.1874
Br 0.0000 0.0000 0.5000